Ba2FeIr, optimized geometry, DFT PBE; D(E_F) = 6.6 states/eV/cell; spin magnetization = 3.230 μB per cell; ΔE_f = 0.601 eV per atom
1.0
2.687 -2.727 0.000
2.687 2.727 0.000
0.000 0.000 8.094
Ba Fe Ir
2 1 1
direct
0.000 0.000 0.226
0.000 0.000 0.774
0.500 0.500 0.500
0.500 0.500 0.000